<P>
Compound: MgZnSO
Source: OQMD
Functional: PBE-GGA
Structure: relaxed

Symmetry: P4/nmm, No. 129

Lattice parameters (Å, degrees): 3.416 3.416 11.242 90.00 90.00 90.00
Sites, in units of the cell vectors:
Mg  0.250  0.250  0.084
Mg  0.750  0.750  0.916
Zn  0.250  0.750  0.500
Zn  0.750  0.250  0.500
S  0.250  0.250  0.643
S  0.750  0.750  0.357
O  0.250  0.250  0.909
O  0.750  0.750  0.091

<Q>
Compound: MgZnSO
Source: OQMD
Functional: PBE-GGA
Structure: relaxed

Symmetry: Pca2_1, No. 29

Lattice parameters (Å, degrees): 5.910 7.893 5.354 90.00 90.00 90.00
Sites, in units of the cell vectors:
Mg  0.044  0.163  0.000
Mg  0.456  0.163  0.500
Mg  0.544  0.837  0.000
Mg  0.956  0.837  0.500
Zn  0.110  0.587  0.908
Zn  0.390  0.587  0.408
Zn  0.610  0.413  0.908
Zn  0.890  0.413  0.408
S  0.036  0.149  0.522
S  0.464  0.149  0.022
S  0.536  0.851  0.522
S  0.964  0.851  0.022
O  0.074  0.602  0.535
O  0.426  0.602  0.035
O  0.574  0.398  0.535
O  0.926  0.398  0.035

The winner here is <Q>, beating the second structure by 406 meV per atom.

<P>
Compound: SmBNO
Source: OQMD
Functional: PBE-GGA
Structure: relaxed

Symmetry: P4/nmm, No. 129

Lattice parameters (Å, degrees): 4.893 4.893 4.526 90.00 90.00 90.00
Sites, in units of the cell vectors:
Sm  0.250  0.750  0.000
Sm  0.750  0.250  0.000
B  0.250  0.250  0.403
B  0.750  0.750  0.597
N  0.250  0.250  0.104
N  0.750  0.750  0.896
O  0.250  0.750  0.500
O  0.750  0.250  0.500

<Q>
Compound: SmBNO
Source: OQMD
Functional: PBE-GGA
Structure: relaxed

Symmetry: Pca2_1, No. 29

Lattice parameters (Å, degrees): 4.974 7.846 4.579 90.00 90.00 90.00
Sites, in units of the cell vectors:
Sm  0.001  0.180  0.000
Sm  0.499  0.180  0.500
Sm  0.501  0.820  0.000
Sm  0.999  0.820  0.500
B  0.128  0.495  0.268
B  0.372  0.495  0.768
B  0.628  0.505  0.268
B  0.872  0.505  0.768
N  0.121  0.500  0.941
N  0.379  0.500  0.441
N  0.621  0.500  0.941
N  0.879  0.500  0.441
O  0.003  0.877  0.001
O  0.497  0.877  0.501
O  0.503  0.123  0.001
O  0.997  0.123  0.501

The winner here is <Q>, beating the second structure by 1034 meV per atom.

<P>
Compound: CdTePdO
Source: OQMD
Functional: PBE-GGA
Structure: relaxed

Symmetry: P2_12_12_1, No. 19

Lattice parameters (Å, degrees): 3.831 7.051 11.075 90.00 90.00 90.00
Sites, in units of the cell vectors:
Cd  0.241  0.038  0.457
Cd  0.259  0.962  0.957
Cd  0.741  0.462  0.543
Cd  0.759  0.538  0.043
Te  0.244  0.548  0.293
Te  0.256  0.452  0.793
Te  0.744  0.952  0.707
Te  0.756  0.048  0.207
Pd  0.243  0.729  0.624
Pd  0.257  0.271  0.124
Pd  0.743  0.771  0.376
Pd  0.757  0.229  0.876
O  0.238  0.359  0.429
O  0.262  0.641  0.929
O  0.738  0.141  0.571
O  0.762  0.859  0.071

<Q>
Compound: CdTePdO
Source: OQMD
Functional: PBE-GGA
Structure: relaxed

Symmetry: Pbca, No. 61

Lattice parameters (Å, degrees): 6.762 13.555 6.918 90.00 90.00 90.00
Sites, in units of the cell vectors:
Cd  0.045  0.230  0.189
Cd  0.045  0.270  0.689
Cd  0.455  0.730  0.189
Cd  0.455  0.770  0.689
Cd  0.545  0.230  0.311
Cd  0.545  0.270  0.811
Cd  0.955  0.730  0.311
Cd  0.955  0.770  0.811
Te  0.003  0.516  0.754
Te  0.003  0.984  0.254
Te  0.497  0.016  0.754
Te  0.497  0.484  0.254
Te  0.503  0.516  0.746
Te  0.503  0.984  0.246
Te  0.997  0.016  0.746
Te  0.997  0.484  0.246
Pd  0.246  0.086  0.466
Pd  0.246  0.414  0.966
Pd  0.254  0.586  0.466
Pd  0.254  0.914  0.966
Pd  0.746  0.086  0.034
Pd  0.746  0.414  0.534
Pd  0.754  0.586  0.034
Pd  0.754  0.914  0.534
O  0.160  0.741  0.573
O  0.160  0.759  0.073
O  0.340  0.241  0.573
O  0.340  0.259  0.073
O  0.660  0.741  0.927
O  0.660  0.759  0.427
O  0.840  0.241  0.927
O  0.840  0.259  0.427

The winner here is <P>, beating the second structure by 49 meV per atom.

<P>
Compound: TlAuNO
Source: OQMD
Functional: PBE-GGA
Structure: relaxed

Symmetry: P4/nmm, No. 129

Lattice parameters (Å, degrees): 4.294 4.294 7.327 90.00 90.00 90.00
Sites, in units of the cell vectors:
Tl  0.250  0.250  0.129
Tl  0.750  0.750  0.871
Au  0.250  0.750  0.500
Au  0.750  0.250  0.500
N  0.250  0.250  0.451
N  0.750  0.750  0.549
O  0.250  0.750  0.000
O  0.750  0.250  0.000

<Q>
Compound: TlAuNO
Source: OQMD
Functional: PBE-GGA
Structure: relaxed

Symmetry: Pmc2_1, No. 26

Lattice parameters (Å, degrees): 3.779 6.339 5.609 90.00 90.00 90.00
Sites, in units of the cell vectors:
Tl  0.000  0.144  0.000
Tl  0.000  0.856  0.500
Au  0.500  0.424  0.529
Au  0.500  0.576  0.029
N  0.500  0.284  0.855
N  0.500  0.716  0.355
O  0.000  0.195  0.393
O  0.000  0.805  0.893

The winner here is <P>, beating the second structure by 110 meV per atom.

<P>
Compound: Cu5Ag4
Source: OQMD
Functional: PBE-GGA
Structure: relaxed

Symmetry: Imm2, No. 44

Lattice parameters (Å, degrees): 13.503 13.503 13.503 167.97 165.16 19.15
Sites, in units of the cell vectors:
Cu  0.000  0.000  0.000
Cu  0.094  0.094  0.000
Cu  0.342  0.342  0.000
Cu  0.454  0.454  0.000
Cu  0.548  0.548  0.000
Ag  0.218  0.218  0.000
Ag  0.651  0.651  0.000
Ag  0.786  0.786  0.000
Ag  0.897  0.897  0.000

<Q>
Compound: Cu5Ag4
Source: OQMD
Functional: PBE-GGA
Structure: relaxed

Symmetry: Imm2, No. 44

Lattice parameters (Å, degrees): 13.186 13.186 13.186 167.72 164.38 19.92
Sites, in units of the cell vectors:
Cu  0.000  0.000  0.000
Cu  0.096  0.096  0.000
Cu  0.548  0.548  0.000
Cu  0.776  0.776  0.000
Cu  0.888  0.888  0.000
Ag  0.219  0.219  0.000
Ag  0.332  0.332  0.000
Ag  0.444  0.444  0.000
Ag  0.653  0.653  0.000

The winner here is <P>, beating the second structure by 14 meV per atom.

<P>
Compound: GdSiHO4
Source: OQMD
Functional: PBE-GGA
Structure: relaxed

Symmetry: R-3, No. 148

Lattice parameters (Å, degrees): 9.259 9.259 9.259 112.57 112.57 112.57
Sites, in units of the cell vectors:
Gd  0.099  0.568  0.361
Gd  0.361  0.099  0.568
Gd  0.432  0.639  0.901
Gd  0.568  0.361  0.099
Gd  0.639  0.901  0.432
Gd  0.901  0.432  0.639
Si  0.149  0.239  0.800
Si  0.200  0.851  0.761
Si  0.239  0.800  0.149
Si  0.761  0.200  0.851
Si  0.800  0.149  0.239
Si  0.851  0.761  0.200
H  0.068  0.169  0.335
H  0.169  0.335  0.068
H  0.335  0.068  0.169
H  0.665  0.932  0.831
H  0.831  0.665  0.932
H  0.932  0.831  0.665
O  0.012  0.654  0.950
O  0.045  0.268  0.338
O  0.050  0.988  0.346
O  0.116  0.390  0.775
O  0.201  0.658  0.704
O  0.225  0.884  0.610
O  0.268  0.338  0.045
O  0.296  0.799  0.342
O  0.338  0.045  0.268
O  0.342  0.296  0.799
O  0.346  0.050  0.988
O  0.390  0.775  0.116
O  0.610  0.225  0.884
O  0.654  0.950  0.012
O  0.658  0.704  0.201
O  0.662  0.955  0.732
O  0.704  0.201  0.658
O  0.732  0.662  0.955
O  0.775  0.116  0.390
O  0.799  0.342  0.296
O  0.884  0.610  0.225
O  0.950  0.012  0.654
O  0.955  0.732  0.662
O  0.988  0.346  0.050

<Q>
Compound: GdSiHO4
Source: OQMD
Functional: PBE-GGA
Structure: relaxed

Symmetry: Pnma, No. 62

Lattice parameters (Å, degrees): 9.751 7.118 4.421 90.00 90.00 90.00
Sites, in units of the cell vectors:
Gd  0.091  0.250  0.150
Gd  0.409  0.750  0.650
Gd  0.591  0.250  0.350
Gd  0.909  0.750  0.850
Si  0.150  0.750  0.344
Si  0.350  0.250  0.844
Si  0.650  0.750  0.156
Si  0.850  0.250  0.656
H  0.000  0.000  0.500
H  0.000  0.500  0.500
H  0.500  0.000  0.000
H  0.500  0.500  0.000
O  0.053  0.564  0.267
O  0.053  0.936  0.267
O  0.163  0.750  0.710
O  0.196  0.250  0.707
O  0.304  0.750  0.207
O  0.337  0.250  0.210
O  0.447  0.064  0.767
O  0.447  0.436  0.767
O  0.553  0.564  0.233
O  0.553  0.936  0.233
O  0.663  0.750  0.790
O  0.696  0.250  0.793
O  0.804  0.750  0.293
O  0.837  0.250  0.290
O  0.947  0.064  0.733
O  0.947  0.436  0.733

The winner here is <P>, beating the second structure by 84 meV per atom.

<P>
Compound: HoInHgTe3
Source: OQMD
Functional: PBE-GGA
Structure: relaxed

Symmetry: Cmcm, No. 63

Lattice parameters (Å, degrees): 7.907 7.907 11.451 90.00 90.00 147.74
Sites, in units of the cell vectors:
Ho  0.000  0.000  0.000
Ho  0.000  0.000  0.500
In  0.239  0.761  0.750
In  0.761  0.239  0.250
Hg  0.464  0.536  0.250
Hg  0.536  0.464  0.750
Te  0.088  0.912  0.250
Te  0.359  0.641  0.046
Te  0.359  0.641  0.454
Te  0.641  0.359  0.546
Te  0.641  0.359  0.954
Te  0.912  0.088  0.750

<Q>
Compound: HoInHgTe3
Source: OQMD
Functional: PBE-GGA
Structure: relaxed

Symmetry: C2/m, No. 12

Lattice parameters (Å, degrees): 9.869 9.869 9.525 102.15 102.15 25.40
Sites, in units of the cell vectors:
Ho  0.173  0.173  0.091
Ho  0.827  0.827  0.909
In  0.132  0.132  0.582
In  0.868  0.868  0.418
Hg  0.461  0.461  0.778
Hg  0.539  0.539  0.222
Te  0.000  0.000  0.000
Te  0.307  0.307  0.672
Te  0.334  0.334  0.138
Te  0.500  0.500  0.500
Te  0.666  0.666  0.862
Te  0.693  0.693  0.328

The winner here is <P>, beating the second structure by 37 meV per atom.

<P>
Compound: TbSiPO
Source: OQMD
Functional: PBE-GGA
Structure: relaxed

Symmetry: Pmc2_1, No. 26

Lattice parameters (Å, degrees): 3.832 5.802 5.906 90.00 90.00 90.00
Sites, in units of the cell vectors:
Tb  0.000  0.232  0.000
Tb  0.000  0.768  0.500
Si  0.500  0.361  0.408
Si  0.500  0.639  0.908
P  0.500  0.081  0.684
P  0.500  0.919  0.184
O  0.000  0.393  0.361
O  0.000  0.607  0.861

<Q>
Compound: TbSiPO
Source: OQMD
Functional: PBE-GGA
Structure: relaxed

Symmetry: P4/nmm, No. 129

Lattice parameters (Å, degrees): 5.400 5.400 4.652 90.00 90.00 90.00
Sites, in units of the cell vectors:
Tb  0.250  0.750  0.000
Tb  0.750  0.250  0.000
Si  0.250  0.250  0.499
Si  0.750  0.750  0.501
P  0.250  0.250  0.998
P  0.750  0.750  0.002
O  0.250  0.750  0.500
O  0.750  0.250  0.500

The winner here is <P>, beating the second structure by 406 meV per atom.

<P>
Compound: Cu2Ag3
Source: OQMD
Functional: PBE-GGA
Structure: relaxed

Symmetry: Pmmn, No. 59

Lattice parameters (Å, degrees): 2.871 3.613 15.051 90.00 90.00 90.00
Sites, in units of the cell vectors:
Cu  0.250  0.250  0.153
Cu  0.250  0.250  0.766
Cu  0.750  0.750  0.234
Cu  0.750  0.750  0.847
Ag  0.250  0.250  0.331
Ag  0.250  0.250  0.556
Ag  0.250  0.250  0.944
Ag  0.750  0.750  0.056
Ag  0.750  0.750  0.444
Ag  0.750  0.750  0.669

<Q>
Compound: Cu2Ag3
Source: OQMD
Functional: PBE-GGA
Structure: relaxed

Symmetry: Cm, No. 8

Lattice parameters (Å, degrees): 7.631 7.631 7.526 104.45 104.45 21.50
Sites, in units of the cell vectors:
Cu  0.000  0.000  0.000
Cu  0.406  0.406  0.180
Cu  0.585  0.585  0.801
Cu  0.815  0.815  0.921
Ag  0.200  0.200  0.061
Ag  0.200  0.200  0.633
Ag  0.399  0.399  0.712
Ag  0.603  0.603  0.286
Ag  0.802  0.802  0.383
Ag  0.999  0.999  0.492

<R>
Compound: Cu2Ag3
Source: OQMD
Functional: PBE-GGA
Structure: relaxed

Symmetry: Pm, No. 6

Lattice parameters (Å, degrees): 4.857 2.851 11.384 90.00 96.95 90.00
Sites, in units of the cell vectors:
Cu  0.000  0.000  0.000
Cu  0.094  0.500  0.822
Cu  0.307  0.500  0.419
Cu  0.620  0.000  0.819
Ag  0.212  0.000  0.625
Ag  0.400  0.000  0.217
Ag  0.496  0.500  0.003
Ag  0.708  0.500  0.626
Ag  0.810  0.000  0.416
Ag  0.906  0.500  0.203

The winner here is <Q>, beating the second structure by 5 meV per atom.